4
Lattice="4.288 0.000 0.000 0.000 4.288 0.000 0.000 0.000 7.516" Properties=species:S:1:pos:R:3 comment="PBE TlHgTe2, optimized geometry" sg="P4mm (99)" crystal_system=tetragonal formation_energy_uncorrected_ev_per_fu=-0.1 pbc="T T T"
Hg 2.144 2.144 5.477
Te 0.000 0.000 0.603
Te 2.144 2.144 1.254
Tl 0.000 0.000 3.940